## A
A geometry-optimized Ba2Tl3Hg structure, computed with PBE.

Properties
Its density is 8.5 g/cm³. The value obtained for the size of the total moment is 0.0 μB per formula unit.

Lattice parameters (Å, degrees): 6.844 6.844 10.731 112.97 112.97 77.06
Positions (direct):
1 Ba 0.750 0.250 0.500
2 Ba 0.743 0.257 0.000
3 Ba 0.250 0.750 0.500
4 Ba 0.257 0.743 0.000
5 Tl 0.834 0.834 0.169
6 Tl 0.665 0.665 0.831
7 Tl 0.166 0.166 0.831
8 Tl 0.335 0.335 0.169
9 Tl 0.168 0.168 0.336
10 Tl 0.832 0.832 0.664
11 Hg 0.667 0.667 0.334
12 Hg 0.333 0.333 0.666

---

## B
A geometry-optimized Ba2Tl3Hg structure, computed with PBE.

Properties
Its density is 8.6 g/cm³. The value obtained for the size of the total moment is 0.0 μB per formula unit.

Lattice parameters (Å, degrees): 5.354 6.790 6.815 78.35 66.87 66.78
Positions (direct):
1 Ba 0.539 0.215 0.708
2 Ba 0.459 0.788 0.293
3 Tl 0.840 0.612 0.708
4 Tl 0.833 0.231 0.104
5 Tl 0.161 0.773 0.906
6 Hg 0.169 0.382 0.280

---

Question: of the structures shown, which is the most stable? Reply: B.